Density functional theory data (PBE with a Hubbard U) for a relaxed Zn6CoO8 crystal.

## Properties
Final energy   -279.572 eV for the cell shown
Magnetization   0.0 μB/f.u.

Cell and atoms, written as CIF:
```
data_Zn6CoO8
_chemical_formula_sum 'Zn24 Co4 O32'
_space_group_name_H-M_alt 'F m -3 m'
_space_group_IT_number 225
_space_group_name_Hall '-F 4 2 3'
_cell_length_a 8.428
_cell_length_b 8.428
_cell_length_c 8.428
_cell_angle_alpha 90.00
_cell_angle_beta 90.00
_cell_angle_gamma 90.00
loop_
_atom_site_label
_atom_site_fract_x
_atom_site_fract_y
_atom_site_fract_z
Zn1 0.000 0.250 0.250
Co1 0.000 0.000 0.000
O1 0.000 0.000 0.227
O2 0.250 0.250 0.250
```